VASP calculation (GGA-PBE) on a geometry-optimized LiCaReOs2 structure.

Cell: 4.739 5.376 4.739 Å, 90.00 90.00 90.00°
Each line ends with the local moment (μB).
Fractional coordinates of all 5 atoms:
Os (0.500, 0.000, 0.000)  0.17
Os (0.000, 0.000, 0.500)  0.31
Li (0.500, 0.500, 0.500)  0.00
Ca (0.000, 0.500, 0.000)  0.00
Re (0.000, 0.000, 0.000)  0.04

Properties
As for the symmetry: P4/mmm. For the spin magnetization, the calculation gives 0.539 μB per cell. The calculation puts the calculated formation energy at 1.310 eV per atom.

VASP calculation (GGA-PBE) on a geometry-optimized LiCaOsRu2 structure.

Cell: 4.697 4.744 4.697 Å, 90.00 90.00 90.00°
Fractional coordinates of all 5 atoms:
Ru (0.000, 0.000, 0.500)
Ru (0.500, 0.000, 0.000)
Li (0.000, 0.500, 0.000)
Ca (0.500, 0.500, 0.500)
Os (0.000, 0.000, 0.000)

Properties
As for the symmetry: P4/mmm. For the spin magnetization, the calculation gives 0.000 μB per cell. The calculation puts the calculated formation energy at 0.702 eV per atom.